[1]
Density functional theory data (PBE) for an optimized crystal structure of Er8CoRh2.

Cell: 5.9443 7.4309 7.4309 Å, 113.29 101.20 101.20°
Closest atoms and distances in Å follow each position.
Positions (direct):
1 Er 0.1686 0.3535 0.3535  1 Co 2.91, 2 Rh 2.97
2 Er 0.5823 0.3456 0.0874  2 Rh 2.74-2.78, 1 Co 2.96
3 Er 0.9893 0.7953 0.2021  1 Co 2.74
4 Er 0.9893 0.2021 0.7953  1 Co 2.74
5 Er 0.3751 0.9240 0.6669  2 Rh 2.75-2.80, 1 Co 2.87
6 Er 0.3751 0.6669 0.9240  2 Rh 2.75-2.80, 1 Co 2.87
7 Er 0.8049 0.6470 0.6470  1 Co 2.91, 2 Rh 2.97
8 Er 0.5823 0.0874 0.3456  2 Rh 2.74-2.78, 1 Co 2.96
9 Co 0.1668 0.9967 0.9967  8 Er 2.74-2.96
10 Rh 0.4830 0.6954 0.3199  6 Er 2.74-2.97
11 Rh 0.4830 0.3199 0.6954  6 Er 2.74-2.97

DFT total energy = -5.628 eV/atom
Formation enthalpy at 0 K = -3.59 eV/f.u.

---

[2]
Density functional theory data (PBE) for an optimized crystal structure of ErCoSnRh.

Cell: 4.6132 4.6132 4.6132 Å, 60.00 60.00 60.00°
Closest atoms and distances in Å follow each position.
Positions (direct):
1 Co 0.0000 0.0000 0.0000  4 Er 2.82, 4 Sn 2.82
2 Er 0.7500 0.7500 0.7500  4 Rh 2.82, 4 Co 2.82
3 Sn 0.2500 0.2500 0.2500  4 Co 2.82, 4 Rh 2.82
4 Rh 0.5000 0.5000 0.5000  4 Sn 2.82, 4 Er 2.82

DFT total energy = -6.304 eV/atom
Formation enthalpy at 0 K = -2.19 eV/f.u.

---

[3]
Density functional theory data (PBE) for an optimized crystal structure of ErTmCoRh.

Cell: 4.7306 4.7306 4.7306 Å, 60.00 60.00 60.00°
Closest atoms and distances in Å follow each position.
Positions (direct):
1 Er 0.2500 0.2500 0.2500  4 Co 2.90, 4 Rh 2.90
2 Rh 0.0000 0.0000 0.0000  4 Tm 2.90, 4 Er 2.90
3 Co 0.5000 0.5000 0.5000  4 Er 2.90, 4 Tm 2.90
4 Tm 0.7500 0.7500 0.7500  4 Rh 2.90, 4 Co 2.90

DFT total energy = -6.436 eV/atom
Formation enthalpy at 0 K = -2.25 eV/f.u.
Energy relative to the lowest polymorph listed for this composition = 20 meV/atom

---

Question: Which value of formation enthalpy at 0 K does entry 2 give?
Answer: -2.19 eV/f.u.

---

Question: formation enthalpy at 0 K of number 1 (Er8CoRh2)?
Answer: -3.59 eV/f.u.